BaScRe2, relaxed, DFT PBE; energy above the most stable polymorph in this dataset = 792 meV per atom; final energy = -7.196 eV/atom; V = 225.16 Å³ per cell; magnetic moment = 0.00 μB per atom
1.0
4.8794 0.0000 0.0000
0.0000 4.8794 0.0000
2.4397 2.4397 9.4570
Re Sc Ba
4 2 2
direct
0.3279 0.1250 0.2500
0.4221 0.6250 0.2500
0.3750 0.6721 0.7500
0.8750 0.5779 0.7500
0.5000 0.5000 0.0000
0.2500 0.7500 0.5000
0.7500 0.2500 0.5000
0.0000 0.0000 0.0000